Entry 1:
A plane-wave DFT calculation with PBE-GGA was carried out for a relaxed Tb5Er3Bi8 crystal.

Structure (CIF):
```
data_Tb5Er3Bi8
_chemical_formula_sum 'Tb15 Er9 Bi24'
_space_group_name_H-M_alt 'R -3 m'
_space_group_IT_number 166
_space_group_name_Hall '-R 3 2"'
_cell_length_a 8.9461
_cell_length_b 8.9461
_cell_length_c 21.9126
_cell_angle_alpha 90.00
_cell_angle_beta 90.00
_cell_angle_gamma 120.00
loop_
_atom_site_label
_atom_site_type_symbol
_atom_site_fract_x
_atom_site_fract_y
_atom_site_fract_z
_atom_site_occupancy
Tb1 Tb 0.0000 0.0000 0.0000 1
Tb2 Tb 0.0000 0.0000 0.5000 1
Tb3 Tb 0.0000 0.5000 0.0000 1
Er1 Er 0.0000 0.5000 0.5000 1
Bi1 Bi 0.0000 0.0000 0.2489 1
Bi2 Bi 0.0015 0.5007 0.7507 1
```

Computed properties:
volume: 1519 Å³/cell
final energy: -5.10 eV per atom
DOS at the Fermi energy: 0.1942 states/eV/atom

=====

Entry 2:
A plane-wave DFT calculation with PBE-GGA was carried out for a relaxed NbSnOsS2 crystal.

Structure (CIF):
```
data_NbSnOsS2
_chemical_formula_sum 'Nb1 Sn1 Os1 S2'
_space_group_name_H-M_alt 'P 4/m m m'
_space_group_IT_number 123
_space_group_name_Hall '-P 4 2'
_cell_length_a 4.526
_cell_length_b 4.526
_cell_length_c 5.187
_cell_angle_alpha 90.00
_cell_angle_beta 90.00
_cell_angle_gamma 90.00
loop_
_atom_site_label
_atom_site_type_symbol
_atom_site_fract_x
_atom_site_fract_y
_atom_site_fract_z
_atom_site_occupancy
Nb1 Nb 0.000 0.000 0.000 1
Sn1 Sn 0.500 0.500 0.000 1
Os1 Os 0.000 0.000 0.500 1
S1 S 0.000 0.500 0.500 1
```

Computed properties:
volume: 106 Å³/cell
energy relative to the elements, uncorrected: 0.62 eV/atom
DOS at the Fermi energy: 1.1656 states/eV/atom

=====

Entry 3:
A plane-wave DFT calculation with PBE-GGA was carried out for a relaxed TlPPd2 crystal.

Structure (CIF):
```
data_TlPPd2
_chemical_formula_sum 'Tl3 P3 Pd6'
_space_group_name_H-M_alt 'R 3 m'
_space_group_IT_number 160
_space_group_name_Hall 'R 3 -2"'
_cell_length_a 3.9665
_cell_length_b 3.9665
_cell_length_c 16.9642
_cell_angle_alpha 90.00
_cell_angle_beta 90.00
_cell_angle_gamma 120.00
loop_
_atom_site_label
_atom_site_type_symbol
_atom_site_fract_x
_atom_site_fract_y
_atom_site_fract_z
_atom_site_occupancy
Tl1 Tl 0.0000 0.0000 0.0000 1
P1 P 0.0000 0.0000 0.1764 1
Pd1 Pd 0.0000 0.0000 0.5550 1
Pd2 Pd 0.0000 0.0000 0.7849 1
```

Computed properties:
volume: 231 Å³/cell
DOS at the Fermi energy: 0.6472 states/eV/atom
distance to the lowest polymorph of the same formula: 0.1542 eV/atom